Density functional theory data (PBE-GGA) for a relaxed PNF2 crystal.

Cell and atoms, written as extended XYZ:
```
8
Lattice="-1.624 1.624 7.307 1.624 -1.624 7.307 1.624 1.624 -7.307" Properties=species:S:1:pos:R:3 pbc="T T T"
P 0.000 0.000 0.000
P 0.000 1.624 3.654
N 1.624 0.000 3.654
N 0.000 0.000 7.307
F 2.436 0.776 -1.827
F 0.776 0.812 1.827
F -0.812 0.848 5.481
F 0.848 0.812 9.134
```

formation energy (no corrections): 0.42 eV per atom
E: -31.633 eV for the cell shown
V: 9.6 Å³/atom
offset from the most stable computed form: 2174 meV per atom

Density functional theory data (PBE-GGA) for a relaxed CaGa8Rh4 crystal.

Cell and atoms, written as extended XYZ:
```
13
Lattice="2.948 1.702 8.266 -2.948 1.702 8.266 0.000 -3.404 8.266" Properties=species:S:1:pos:R:3 pbc="T T T"
Ca 0.000 0.000 0.000
Ga -1.412 -0.815 14.265
Ga 0.000 0.000 6.408
Ga 0.000 -1.630 10.533
Ga -1.412 0.815 10.533
Ga 1.412 -0.815 14.265
Ga 0.000 1.630 14.265
Ga 0.000 0.000 18.391
Ga 1.412 0.815 10.533
Rh -1.474 -0.851 8.266
Rh -1.474 0.851 16.532
Rh 0.000 1.702 8.266
Rh 0.000 0.000 12.399
```

E: -58.288 eV for the cell shown
V: 19.1 Å³/atom
offset from the most stable computed form: 355 meV per atom

Density functional theory data (PBE-GGA) for a relaxed La3InO crystal.

Cell and atoms, written as extended XYZ:
```
10
Lattice="6.680 0.000 0.000 0.888 6.655 0.000 3.335 0.422 6.347" Properties=species:S:1:pos:R:3 pbc="T T T"
La 0.000 0.000 0.000
La 3.145 3.745 4.839
La 2.274 0.690 2.853
La 6.463 2.350 5.554
La 6.446 5.780 3.661
La 5.450 2.666 2.146
In 1.983 3.857 1.646
In 4.427 5.389 0.389
O 4.367 1.413 4.227
O 6.677 0.679 2.377
```

formation energy (no corrections): -1.29 eV per atom
E: -57.894 eV for the cell shown
V: 28.2 Å³/atom

Density functional theory data (PBE-GGA) for a relaxed KYGeS2 crystal.

Cell and atoms, written as extended XYZ:
```
5
Lattice="5.328 0.000 0.000 0.000 5.328 0.000 0.000 0.000 5.547" Properties=species:S:1:pos:R:3 pbc="T T T"
K 0.000 0.000 0.000
Y 2.664 2.664 2.773
Ge 2.664 2.664 0.000
S 0.000 2.664 2.773
S 2.664 0.000 2.773
```

formation energy (no corrections): -0.59 eV per atom
E: -23.377 eV for the cell shown
V: 31.5 Å³/atom

Density functional theory data (PBE-GGA) for a relaxed SrHg2PPb crystal.

Cell and atoms, written as extended XYZ:
```
5
Lattice="5.220 0.000 0.000 0.000 5.220 0.000 0.000 0.000 5.670" Properties=species:S:1:pos:R:3 pbc="T T T"
Sr 0.000 0.000 0.000
Hg 0.000 2.610 2.835
Hg 2.610 0.000 2.835
P 0.000 0.000 2.835
Pb 2.610 2.610 0.000
```

E: -11.632 eV for the cell shown
V: 30.9 Å³/atom